# UTc6P4 | the Alexandria database | PBE | relaxed
# **Formation energy**: -26.7 kJ per mole of atoms
# **Energy above the most stable polymorph in this dataset**: 260.7 meV per atom
data_UTc6P4
_symmetry_space_group_name_H-M 'I -4 2 m'
_symmetry_Int_Tables_number 121
_symmetry_space_group_name_Hall 'I -4 2'
_cell_length_a 5.702
_cell_length_b 5.702
_cell_length_c 10.771
_cell_angle_alpha 90.00
_cell_angle_beta 90.00
_cell_angle_gamma 90.00
loop_
_atom_site_label
_atom_site_type_symbol
_atom_site_fract_x
_atom_site_fract_y
_atom_site_fract_z
U1 U 0.000 0.000 0.000
Tc1 Tc 0.000 0.500 0.000
Tc2 Tc 0.183 0.183 0.308
P1 P 0.202 0.202 0.616